Material: AgPdRu2Pt
Method: DFT, PBE-GGA
State: relaxed

Results
V = 22.19 Å³/atom
ΔH_f (0 K) = 1.57 eV per atom

a = 4.7296 Å, b = 4.7296 Å, c = 4.9609 Å
α = 90.00°, β = 90.00°, γ = 90.00°
With the nearest neighbours (Å) after each atom.
Space group P4/mmm (No. 123)
Asymmetric unit:
Ag (0.0000, 0.0000, 0.0000) x1  4 Pd 3.34, 8 Ru 3.43
Pd (0.5000, 0.5000, 0.0000) x1  2 Pt 2.48
Ru (0.0000, 0.5000, 0.5000) x2  2 Pt 2.36
Pt (0.5000, 0.5000, 0.5000) x1  4 Ru 2.36, 2 Pd 2.48